This record from Alexandria describes a relaxed Ba2CoWO6 crystal. The functional is GGA+U.

Cell and atoms, written as extended XYZ:
```
10
Lattice="5.818 -0.006 -0.003 0.006 5.830 -0.006 -2.910 -2.919 4.122" Properties=species:S:1:pos:R:3 pbc="T T T"
W 2.912 2.912 -0.004
O 0.001 -0.004 2.153
O 1.526 4.303 -0.005
O 2.912 2.909 1.959
O 4.301 4.300 -0.006
O -1.387 -1.396 4.119
O 1.388 -1.399 4.118
Co 5.824 5.824 -0.009
Ba 2.910 0.000 2.052
Ba 0.004 2.904 2.060
```

Output
DFT total energy   -6.903 eV/atom
Magnetization   3.015 μB/f.u.
Space group   No. 166
Theoretical density   7.29 g/cm³
N(E_F)   0.000 states/eV/atom
Crystal system   trigonal